No. 1
A plane-wave DFT calculation with PBE was carried out for a geometry-optimized PmNp2Co9 structure.

Properties
* SG: No. 166
* E: -0.5850 Ry/atom
* energy relative to the elements: -0.93 eV per formula unit

Cell: 8.6362 8.6362 8.6362 Å, 32.95 32.95 32.95°
Fractional positions:
Pm 0.0000 0.0000 0.0000
Np 0.1406 0.1406 0.1406
Np 0.8594 0.8594 0.8594
Co 0.0830 0.5825 0.5825
Co 0.3330 0.3330 0.3330
Co 0.4175 0.4175 0.9170
Co 0.4175 0.9170 0.4175
Co 0.5000 0.5000 0.5000
Co 0.5825 0.0830 0.5825
Co 0.5825 0.5825 0.0830
Co 0.6670 0.6670 0.6670
Co 0.9170 0.4175 0.4175


No. 2
A plane-wave DFT calculation with PBE was carried out for a geometry-optimized Dy4Tl3Zn structure.

Properties
* SG: No. 25
* E: -0.2673 Ry/atom
* energy relative to the elements: -2.31 eV per formula unit
* energy above the lowest structure with this stoichiometry: 61.6 meV per atom

Cell: 3.8453 4.7573 11.8590 Å, 90.00 90.00 90.00°
Fractional positions:
Dy 0.0000 0.0000 0.0000
Dy 0.0000 0.5000 0.2882
Dy 0.5000 0.0000 0.4787
Dy 0.5000 0.5000 0.7945
Tl 0.0000 0.0000 0.7294
Tl 0.0000 0.5000 0.5552
Tl 0.5000 0.5000 0.0640
Zn 0.5000 0.0000 0.2233


No. 3
A plane-wave DFT calculation with PBE was carried out for a geometry-optimized Ho4ZnCu2Pd structure.

Properties
* SG: No. 166
* E: -0.3361 Ry/atom
* energy relative to the elements: -3.62 eV per formula unit

Cell: 8.5645 8.5645 8.5645 Å, 33.47 33.47 33.47°
Fractional positions:
Ho 0.1233 0.1233 0.1233
Ho 0.3736 0.3736 0.3736
Ho 0.6264 0.6264 0.6264
Ho 0.8767 0.8767 0.8767
Zn 0.5000 0.5000 0.5000
Cu 0.2456 0.2456 0.2456
Cu 0.7544 0.7544 0.7544
Pd 0.0000 0.0000 0.0000


No. 4
A plane-wave DFT calculation with PBE was carried out for a geometry-optimized BiSbSeI2 structure.

Properties
* SG: No. 123
* E: -0.1772 Ry/atom
* energy above the lowest structure with this stoichiometry: 0.0 meV per atom
* formation energy (no corrections): 0.507 eV per atom

Cell: 5.5651 5.5651 5.7757 Å, 90.00 90.00 90.00°
Fractional positions:
Bi 0.0000 0.0000 0.0000
Sb 0.5000 0.5000 0.0000
Se 0.5000 0.5000 0.5000
I 0.0000 0.5000 0.5000
I 0.5000 0.0000 0.5000


No. 5
A plane-wave DFT calculation with PBE was carried out for a geometry-optimized Zr2SiRh2 structure.

Properties
* SG: No. 127
* E: -0.5950 Ry/atom
* formation energy (no corrections): -0.651 eV per atom

Cell: 7.1503 7.1503 3.4812 Å, 90.00 90.00 90.00°
Fractional positions:
Zr 0.1742 0.3258 0.0000
Zr 0.3258 0.8258 0.0000
Zr 0.6742 0.1742 0.0000
Zr 0.8258 0.6742 0.0000
Si 0.0000 0.0000 0.5000
Si 0.5000 0.5000 0.5000
Rh 0.1348 0.6348 0.5000
Rh 0.3652 0.1348 0.5000
Rh 0.6348 0.8652 0.5000
Rh 0.8652 0.3652 0.5000


No. 6
A plane-wave DFT calculation with PBE was carried out for a geometry-optimized NdUTl2O6 structure.

Properties
* SG: No. 12
* E: -0.5387 Ry/atom
* formation energy (no corrections): -2.276 eV per atom

Cell: 6.1937 6.1937 6.2161 Å, 119.69 119.69 60.71°
Fractional positions:
Nd 0.0000 0.0000 0.0000
U 0.5000 0.5000 0.5000
Tl 0.2500 0.2500 0.7381
Tl 0.7500 0.7500 0.2619
O 0.2231 0.6939 0.6916
O 0.2677 0.2677 0.1941
O 0.3061 0.7769 0.3084
O 0.6939 0.2231 0.6916
O 0.7323 0.7323 0.8059
O 0.7769 0.3061 0.3084


No. 7
A plane-wave DFT calculation with PBE was carried out for a geometry-optimized PuCuAgPb structure.

Properties
* SG: No. 216
* E: -0.4490 Ry/atom
* energy relative to the elements: 0.55 eV per formula unit

Cell: 5.0111 5.0111 5.0111 Å, 60.00 60.00 60.00°
Fractional positions:
Pu 0.0000 0.0000 0.0000
Cu 0.2500 0.2500 0.2500
Ag 0.5000 0.5000 0.5000
Pb 0.7500 0.7500 0.7500


No. 8
A plane-wave DFT calculation with PBE was carried out for a geometry-optimized Tb2SmTmTl2 structure.

Properties
* SG: No. 26
* E: -0.3037 Ry/atom
* energy relative to the elements: -1.61 eV per formula unit

Cell: 5.1096 9.9974 6.8780 Å, 90.00 90.00 90.00°
Fractional positions:
Tb 0.0000 0.0463 0.0000
Tb 0.0000 0.9537 0.5000
Tb 0.5000 0.1839 0.2853
Tb 0.5000 0.8161 0.7853
Sm 0.5000 0.4552 0.9061
Sm 0.5000 0.5448 0.4061
Tm 0.0000 0.3093 0.6226
Tm 0.0000 0.6907 0.1226
Tl 0.0000 0.3686 0.1686
Tl 0.0000 0.6314 0.6686
Tl 0.5000 0.1358 0.7446
Tl 0.5000 0.8642 0.2446